# 1
# Ac2Tb8Er3 (PBE, optimized geometry)
data_Ac2Tb8Er3
_chemical_formula_sum 'Ac4 Tb16 Er6'
_cell_length_a 13.188
_cell_length_b 11.743
_cell_length_c 6.228
_cell_angle_alpha 90.00
_cell_angle_beta 113.95
_cell_angle_gamma 90.00
_space_group_name_H-M_alt 'C 1 2/m 1'
_space_group_IT_number 12
_space_group_name_Hall '-C 2y'
loop_
_atom_site_label
_atom_site_fract_x
_atom_site_fract_y
_atom_site_fract_z
Ac1 0.201 0.000 0.351
Tb1 0.071 0.000 0.770
Tb2 0.149 0.500 0.044
Tb3 0.164 0.248 0.670
Er1 0.000 0.250 0.000
Er2 0.000 0.500 0.500
# N(E_F) in states/eV per cell: 41.39
# Total magnetization in Bohr magnetons per cell: 0.000
# E_tot in eV/atom: -4.3245

---

# 2
# Mo3WSe4S4 (PBE, optimized geometry)
data_Mo3WSe4S4
_chemical_formula_sum 'Mo3 W1 Se4 S4'
_cell_length_a 3.2556
_cell_length_b 3.2556
_cell_length_c 28.7468
_cell_angle_alpha 90.00
_cell_angle_beta 90.00
_cell_angle_gamma 120.00
_space_group_name_H-M_alt 'P 3 m 1'
_space_group_IT_number 156
_space_group_name_Hall 'P 3 -2"'
loop_
_atom_site_label
_atom_site_fract_x
_atom_site_fract_y
_atom_site_fract_z
Mo1 0.0000 0.0000 0.0000
Mo2 0.0000 0.0000 0.4983
Mo3 0.3333 0.6667 0.2484
W1 0.3333 0.6667 0.7504
Se1 0.0000 0.0000 0.1893
Se2 0.0000 0.0000 0.3074
Se3 0.0000 0.0000 0.6909
Se4 0.0000 0.0000 0.8098
S1 0.3333 0.6667 0.0537
S2 0.3333 0.6667 0.4446
S3 0.3333 0.6667 0.5520
S4 0.3333 0.6667 0.9463
# Raw formation energy in eV per atom: -0.7368
# N(E_F) in states/eV per cell: 0.03
# ΔE to the lowest computed polymorph in eV per atom: 0.017
# Total magnetization in Bohr magnetons per cell: 0.000
# E_tot in eV/atom: -7.0613

---

# 3
# AcPr6Nd3 (PBE, optimized geometry)
data_AcPr6Nd3
_chemical_formula_sum 'Ac4 Pr24 Nd12'
_cell_length_a 13.835
_cell_length_b 15.025
_cell_length_c 7.202
_cell_angle_alpha 90.00
_cell_angle_beta 90.00
_cell_angle_gamma 90.00
_space_group_name_H-M_alt 'C m c 21'
_space_group_IT_number 36
_space_group_name_Hall 'C 2c -2'
loop_
_atom_site_label
_atom_site_fract_x
_atom_site_fract_y
_atom_site_fract_z
Ac1 0.000 0.197 0.000
Pr1 0.000 0.004 0.268
Pr2 0.000 0.207 0.506
Pr3 0.117 0.389 0.310
Pr4 0.233 0.289 0.724
Nd1 0.000 0.410 0.787
Nd2 0.214 0.025 0.524
# N(E_F) in states/eV per cell: 64.31
# ΔE to the lowest computed polymorph in eV per atom: 0.000
# Total magnetization in Bohr magnetons per cell: 0.000
# E_tot in eV/atom: -4.5170

---

# 4
# Pm2SiSe (PBE, optimized geometry)
data_Pm2SiSe
_chemical_formula_sum 'Pm8 Si4 Se4'
_cell_length_a 7.323
_cell_length_b 7.323
_cell_length_c 7.323
_cell_angle_alpha 90.00
_cell_angle_beta 90.00
_cell_angle_gamma 90.00
_space_group_name_H-M_alt 'F m -3 m'
_space_group_IT_number 225
_space_group_name_Hall '-F 4 2 3'
loop_
_atom_site_label
_atom_site_fract_x
_atom_site_fract_y
_atom_site_fract_z
Pm1 0.250 0.250 0.250
Si1 0.000 0.000 0.000
Se1 0.000 0.000 0.500
# Raw formation energy in eV per atom: -0.9095
# N(E_F) in states/eV per cell: 9.08
# ΔE to the lowest computed polymorph in eV per atom: 0.409
# Total magnetization in Bohr magnetons per cell: 0.000
# E_tot in eV/atom: -5.5117

---

# 5
# LaPBrO4 (PBE, optimized geometry)
data_LaPBrO4
_chemical_formula_sum 'La4 P4 Br4 O16'
_cell_length_a 11.472
_cell_length_b 6.486
_cell_length_c 6.853
_cell_angle_alpha 90.00
_cell_angle_beta 99.79
_cell_angle_gamma 90.00
_space_group_name_H-M_alt 'C 1 2/m 1'
_space_group_IT_number 12
_space_group_name_Hall '-C 2y'
loop_
_atom_site_label
_atom_site_fract_x
_atom_site_fract_y
_atom_site_fract_z
La1 0.201 0.000 0.309
P1 0.137 0.000 0.752
Br1 0.019 0.500 0.170
O1 0.002 0.000 0.737
O2 0.178 0.190 0.636
O3 0.200 0.000 0.968
# Raw formation energy in eV per atom: -2.4815
# Total magnetization in Bohr magnetons per cell: 0.000
# E_tot in eV/atom: -7.0305

---

# 6
# Ba2UCu2Se6 (PBE, optimized geometry)
data_Ba2UCu2Se6
_chemical_formula_sum 'Ba4 U2 Cu4 Se12'
_cell_length_a 13.086
_cell_length_b 7.469
_cell_length_c 7.757
_cell_angle_alpha 90.00
_cell_angle_beta 122.71
_cell_angle_gamma 90.00
_space_group_name_H-M_alt 'C 1 2/m 1'
_space_group_IT_number 12
_space_group_name_Hall '-C 2y'
loop_
_atom_site_label
_atom_site_fract_x
_atom_site_fract_y
_atom_site_fract_z
Ba1 0.234 0.000 0.209
U1 0.000 0.000 0.500
Cu1 0.054 0.500 0.209
Se1 0.054 0.246 0.797
Se2 0.236 0.000 0.635
# Raw formation energy in eV per atom: -1.1141
# N(E_F) in states/eV per cell: 3.76
# Total magnetization in Bohr magnetons per cell: 0.124
# E_tot in eV/atom: -5.1353